Entry 1:
Entry from the Open Quantum Materials Database: a relaxed structure of ScUGe (PBE).

abc: 6.6931 6.6931 6.6931
angles: 90.00 90.00 90.00
Closest atoms and distances in Å follow each position.
Element x y z (fractional)
Sc 0.0000 0.0000 0.0000  4 U 2.90
Sc 0.0000 0.5000 0.5000  4 U 2.90
Sc 0.5000 0.0000 0.5000  4 U 2.90
Sc 0.5000 0.5000 0.0000  4 U 2.90
U 0.2500 0.2500 0.7500  4 Ge 2.90, 4 Sc 2.90
U 0.2500 0.7500 0.2500  4 Ge 2.90, 4 Sc 2.90
U 0.7500 0.2500 0.2500  4 Ge 2.90, 4 Sc 2.90
U 0.7500 0.7500 0.7500  4 Sc 2.90, 4 Ge 2.90
Ge 0.0000 0.0000 0.5000  4 U 2.90
Ge 0.0000 0.5000 0.0000  4 U 2.90
Ge 0.5000 0.0000 0.0000  4 U 2.90
Ge 0.5000 0.5000 0.5000  4 U 2.90

Computed properties:
* total magnetization: 1.649 μB/atom
* excess energy over the best structure of this formula in the dataset: 13.87 kcal/mol of atoms

***

Entry 2:
Entry from the Open Quantum Materials Database: a relaxed structure of TbDy2Mg3Pt3 (PBE).

abc: 4.0737 7.3565 7.3565
angles: 120.01 90.00 90.00
Closest atoms and distances in Å follow each position.
Element x y z (fractional)
Tb 0.0000 0.0000 0.0000  5 Pt 3.02, 6 Mg 3.25-3.33
Dy 0.0000 0.1796 0.5896  5 Pt 3.01, 6 Mg 3.25-3.33
Dy 0.0000 0.5896 0.1796  5 Pt 3.01, 6 Mg 3.25-3.33
Mg 0.5000 0.3450 0.3450  4 Pt 2.71-2.84
Mg 0.5000 0.5893 0.8344  4 Pt 2.72-2.84
Mg 0.5000 0.8344 0.5893  4 Pt 2.72-2.84
Pt 0.0000 0.5890 0.5890  6 Mg 2.71-2.72, 2 Dy 3.01, 1 Tb 3.02
Pt 0.5000 0.2570 0.9227  3 Mg 2.83-2.84, 4 Dy 3.01, 2 Tb 3.02
Pt 0.5000 0.9227 0.2570  3 Mg 2.83-2.84, 4 Dy 3.01, 2 Tb 3.02

Computed properties:
* total magnetization: 0.001 μB/atom
* E_tot: -5.035 eV/atom

***

> Among the records above, which one has the highest total magnetization?

ScUGe

***

> What is the total magnetization in the second record?

0.001 μB/atom

***

> Which of these has the lowest total magnetization?

TbDy2Mg3Pt3